No. 1
Here is a relaxed K3GaTe3 crystal from Alexandria. Energies are from PBE.

abc: 8.689 8.689 8.429
angles: 95.90 95.90 113.27
Atoms (fractional coordinates):
K1 0.174 0.826 0.000
K2 0.236 0.764 0.500
K3 0.396 0.396 0.145
K4 0.604 0.604 0.855
K5 0.764 0.236 0.500
K6 0.826 0.174 0.000
Ga1 0.173 0.173 0.651
Ga2 0.827 0.827 0.349
Te1 0.106 0.106 0.322
Te2 0.150 0.448 0.778
Te3 0.448 0.150 0.778
Te4 0.552 0.850 0.222
Te5 0.850 0.552 0.222
Te6 0.894 0.894 0.678

Properties
Uncorrected energy: -3.13 eV/atom
Relative energy among the computed polymorphs: 12 meV per atom
DOS at the Fermi energy: 0.000 states/eV/f.u.
Raw formation energy: -0.8776 eV/atom
Magnetization: 0.0 μB per cell

No. 2
Here is a relaxed K3GaTe3 crystal from Alexandria. Energies are from PBE.

abc: 8.701 14.962 10.708
angles: 90.00 126.05 90.00
Atoms (fractional coordinates):
K1 0.176 0.108 0.496
K2 0.176 0.392 0.996
K3 0.206 0.102 0.917
K4 0.206 0.398 0.417
K5 0.302 0.710 0.540
K6 0.302 0.790 0.040
K7 0.698 0.210 0.960
K8 0.698 0.290 0.460
K9 0.794 0.602 0.583
K10 0.794 0.898 0.083
K11 0.824 0.608 0.004
K12 0.824 0.892 0.504
Ga1 0.464 0.077 0.349
Ga2 0.464 0.423 0.849
Ga3 0.536 0.577 0.151
Ga4 0.536 0.923 0.651
Te1 0.210 0.206 0.219
Te2 0.210 0.294 0.719
Te3 0.309 0.583 0.833
Te4 0.309 0.917 0.333
Te5 0.322 0.577 0.251
Te6 0.322 0.923 0.751
Te7 0.678 0.077 0.249
Te8 0.678 0.423 0.749
Te9 0.691 0.083 0.667
Te10 0.691 0.417 0.167
Te11 0.790 0.706 0.281
Te12 0.790 0.794 0.781

Properties
Uncorrected energy: -3.14 eV/atom
Relative energy among the computed polymorphs: 2 meV per atom
DOS at the Fermi energy: 0.000 states/eV/f.u.
Raw formation energy: -0.8872 eV/atom
Magnetization: 0.0 μB per cell

No. 3
Here is a relaxed K2Ga2Te5 crystal from Alexandria. Energies are from PBE.

abc: 7.325 7.325 10.471
angles: 99.66 99.66 41.04
Atoms (fractional coordinates):
K1 0.096 0.096 0.363
K2 0.904 0.904 0.637
Ga1 0.333 0.333 0.136
Ga2 0.667 0.667 0.864
Te1 0.145 0.145 0.992
Te2 0.391 0.391 0.380
Te3 0.500 0.500 0.000
Te4 0.609 0.609 0.620
Te5 0.855 0.855 0.008

Properties
Uncorrected energy: -3.07 eV/atom
DOS at the Fermi energy: 1.929 states/eV/f.u.
Raw formation energy: -0.4083 eV/atom
Magnetization: 0.0 μB per cell

No. 4
Here is a relaxed KGaTe2 crystal from Alexandria. Energies are from PBE.

abc: 4.271 4.271 14.962
angles: 90.00 90.00 90.00
Atoms (fractional coordinates):
K1 0.000 0.000 0.000
K2 0.500 0.500 0.500
Ga1 0.000 0.500 0.750
Ga2 0.500 0.000 0.250
Te1 0.000 0.000 0.359
Te2 0.000 0.000 0.641
Te3 0.500 0.500 0.141
Te4 0.500 0.500 0.859

Properties
Uncorrected energy: -3.24 eV/atom
DOS at the Fermi energy: 0.600 states/eV/f.u.
Raw formation energy: -0.6383 eV/atom
Magnetization: 0.0 μB per cell

No. 5
Here is a relaxed KGa2Te4 crystal from Alexandria. Energies are from PBE.

abc: 6.967 6.967 12.221
angles: 90.00 90.00 120.48
Atoms (fractional coordinates):
K1 0.000 0.000 0.250
K2 0.000 0.000 0.750
Ga1 0.252 0.748 0.000
Ga2 0.252 0.748 0.500
Ga3 0.748 0.252 0.000
Ga4 0.748 0.252 0.500
Te1 0.000 0.500 0.334
Te2 0.000 0.500 0.666
Te3 0.165 0.330 0.000
Te4 0.330 0.165 0.500
Te5 0.500 0.000 0.166
Te6 0.500 0.000 0.834
Te7 0.670 0.835 0.500
Te8 0.835 0.670 0.000

Properties
Uncorrected energy: -3.25 eV/atom
Relative energy among the computed polymorphs: 0 meV per atom
DOS at the Fermi energy: 7.089 states/eV/f.u.
Raw formation energy: -0.4321 eV/atom
Magnetization: 0.0 μB per cell

No. 6
Here is a relaxed KGaTe4 crystal from Alexandria. Energies are from PBE.

abc: 9.384 9.384 7.141
angles: 111.88 111.88 104.06
Atoms (fractional coordinates):
K1 0.123 0.877 0.750
K2 0.877 0.123 0.250
Ga1 0.241 0.759 0.250
Ga2 0.759 0.241 0.750
Te1 0.082 0.290 0.885
Te2 0.274 0.577 0.894
Te3 0.290 0.082 0.385
Te4 0.423 0.726 0.606
Te5 0.577 0.274 0.394
Te6 0.710 0.918 0.615
Te7 0.726 0.423 0.106
Te8 0.918 0.710 0.115

Properties
Uncorrected energy: -3.16 eV/atom
Raw formation energy: -0.3816 eV/atom
Magnetization: 0.0 μB per cell

No. 7
Here is a relaxed K3Ga5Te12 crystal from Alexandria. Energies are from PBE.

abc: 15.310 15.310 15.310
angles: 109.47 109.47 109.47
Atoms (fractional coordinates):
K1 0.125 0.250 0.375
K2 0.125 0.375 0.750
K3 0.250 0.375 0.125
K4 0.250 0.875 0.625
K5 0.375 0.125 0.250
K6 0.375 0.750 0.125
K7 0.625 0.250 0.875
K8 0.625 0.875 0.750
K9 0.750 0.125 0.375
K10 0.750 0.625 0.875
K11 0.875 0.625 0.250
K12 0.875 0.750 0.625
Ga1 0.000 0.000 0.000
Ga2 0.000 0.000 0.500
Ga3 0.000 0.500 0.000
Ga4 0.000 0.500 0.500
Ga5 0.125 0.750 0.875
Ga6 0.125 0.875 0.250
Ga7 0.250 0.125 0.875
Ga8 0.250 0.625 0.375
Ga9 0.375 0.250 0.625
Ga10 0.375 0.625 0.750
Ga11 0.500 0.000 0.000
Ga12 0.500 0.000 0.500
Ga13 0.500 0.500 0.000
Ga14 0.500 0.500 0.500
Ga15 0.625 0.375 0.250
Ga16 0.625 0.750 0.375
Ga17 0.750 0.375 0.625
Ga18 0.750 0.875 0.125
Ga19 0.875 0.125 0.750
Ga20 0.875 0.250 0.125
Te1 0.023 0.206 0.101
Te2 0.023 0.317 0.922
Te3 0.078 0.601 0.395
Te4 0.078 0.977 0.683
Te5 0.101 0.023 0.206
Te6 0.101 0.578 0.895
Te7 0.105 0.706 0.683
Te8 0.105 0.899 0.422
Te9 0.183 0.206 0.605
Te10 0.183 0.477 0.578
Te11 0.206 0.101 0.023
Te12 0.206 0.605 0.183
Te13 0.294 0.317 0.895
Te14 0.294 0.477 0.399
Te15 0.317 0.895 0.294
Te16 0.317 0.922 0.023
Te17 0.395 0.078 0.601
Te18 0.395 0.817 0.794
Te19 0.399 0.294 0.477
Te20 0.399 0.605 0.922
Te21 0.422 0.105 0.899
Te22 0.422 0.817 0.523
Te23 0.477 0.399 0.294
Te24 0.477 0.578 0.183
Te25 0.523 0.422 0.817
Te26 0.523 0.601 0.706
Te27 0.578 0.183 0.477
Te28 0.578 0.895 0.101
Te29 0.601 0.395 0.078
Te30 0.601 0.706 0.523
Te31 0.605 0.183 0.206
Te32 0.605 0.922 0.399
Te33 0.683 0.078 0.977
Te34 0.683 0.105 0.706
Te35 0.706 0.523 0.601
Te36 0.706 0.683 0.105
Te37 0.794 0.395 0.817
Te38 0.794 0.899 0.977
Te39 0.817 0.523 0.422
Te40 0.817 0.794 0.395
Te41 0.895 0.101 0.578
Te42 0.895 0.294 0.317
Te43 0.899 0.422 0.105
Te44 0.899 0.977 0.794
Te45 0.922 0.023 0.317
Te46 0.922 0.399 0.605
Te47 0.977 0.683 0.078
Te48 0.977 0.794 0.899

Properties
Uncorrected energy: -3.03 eV/atom
DOS at the Fermi energy: 21.096 states/eV/f.u.
Raw formation energy: -0.2267 eV/atom
Magnetization: 0.0 μB per cell

No. 8
Here is a relaxed K3GaTe3 crystal from Alexandria. Energies are from PBE.

abc: 11.359 11.359 14.121
angles: 90.00 90.00 37.89
Atoms (fractional coordinates):
K1 0.001 0.355 0.874
K2 0.145 0.499 0.626
K3 0.172 0.828 0.848
K4 0.328 0.672 0.348
K5 0.355 0.001 0.126
K6 0.499 0.145 0.374
K7 0.501 0.855 0.626
K8 0.645 0.999 0.874
K9 0.672 0.328 0.652
K10 0.828 0.172 0.152
K11 0.855 0.501 0.374
K12 0.999 0.645 0.126
Ga1 0.087 0.087 0.500
Ga2 0.413 0.413 0.000
Ga3 0.587 0.587 0.000
Ga4 0.913 0.913 0.500
Te1 0.033 0.657 0.381
Te2 0.157 0.533 0.881
Te3 0.197 0.803 0.596
Te4 0.303 0.697 0.096
Te5 0.343 0.967 0.381
Te6 0.467 0.843 0.881
Te7 0.533 0.157 0.119
Te8 0.657 0.033 0.619
Te9 0.697 0.303 0.904
Te10 0.803 0.197 0.404
Te11 0.843 0.467 0.119
Te12 0.967 0.343 0.619

Properties
Uncorrected energy: -3.14 eV/atom
Relative energy among the computed polymorphs: 0 meV per atom
DOS at the Fermi energy: 0.000 states/eV/f.u.
Raw formation energy: -0.8893 eV/atom
Magnetization: 0.0 μB per cell

No. 9
Here is a relaxed KGa2Te4 crystal from Alexandria. Energies are from PBE.

abc: 6.020 6.020 15.188
angles: 90.00 90.00 90.00
Atoms (fractional coordinates):
K1 0.000 0.000 0.000
K2 0.500 0.500 0.500
Ga1 0.000 0.000 0.419
Ga2 0.000 0.000 0.581
Ga3 0.500 0.500 0.081
Ga4 0.500 0.500 0.919
Te1 0.000 0.000 0.254
Te2 0.000 0.000 0.746
Te3 0.000 0.500 0.000
Te4 0.000 0.500 0.500
Te5 0.500 0.000 0.000
Te6 0.500 0.000 0.500
Te7 0.500 0.500 0.246
Te8 0.500 0.500 0.754

Properties
Uncorrected energy: -2.64 eV/atom
Relative energy among the computed polymorphs: 614 meV per atom
DOS at the Fermi energy: 8.662 states/eV/f.u.
Raw formation energy: 0.1818 eV/atom
Magnetization: 0.0 μB per cell

No. 10
Here is a relaxed KGaTe crystal from Alexandria. Energies are from PBE.

abc: 4.727 5.677 17.088
angles: 90.00 90.00 90.00
Atoms (fractional coordinates):
K1 0.000 0.000 0.155
K2 0.000 0.000 0.845
K3 0.500 0.500 0.345
K4 0.500 0.500 0.655
Ga1 0.000 0.274 0.500
Ga2 0.000 0.726 0.500
Ga3 0.500 0.226 0.000
Ga4 0.500 0.774 0.000
Te1 0.000 0.000 0.365
Te2 0.000 0.000 0.635
Te3 0.500 0.500 0.135
Te4 0.500 0.500 0.865

Properties
Uncorrected energy: -2.86 eV/atom
Relative energy among the computed polymorphs: 101 meV per atom
DOS at the Fermi energy: 1.769 states/eV/f.u.
Raw formation energy: -0.4364 eV/atom
Magnetization: 0.0 μB per cell

No. 11
Here is a relaxed KGaTe2 crystal from Alexandria. Energies are from PBE.

abc: 8.472 8.472 16.918
angles: 97.15 97.15 90.00
Atoms (fractional coordinates):
K1 0.151 0.779 0.607
K2 0.221 0.346 0.881
K3 0.221 0.849 0.893
K4 0.346 0.221 0.381
K5 0.654 0.779 0.619
K6 0.779 0.151 0.107
K7 0.779 0.654 0.119
K8 0.849 0.221 0.393
Ga1 0.087 0.709 0.337
Ga2 0.291 0.418 0.164
Ga3 0.291 0.913 0.163
Ga4 0.418 0.291 0.664
Ga5 0.582 0.709 0.336
Ga6 0.709 0.087 0.837
Ga7 0.709 0.582 0.836
Ga8 0.913 0.291 0.663
Te1 0.051 0.426 0.250
Te2 0.052 0.948 0.250
Te3 0.143 0.265 0.567
Te4 0.265 0.143 0.067
Te5 0.267 0.640 0.065
Te6 0.360 0.733 0.435
Te7 0.426 0.051 0.750
Te8 0.426 0.574 0.750
Te9 0.574 0.426 0.250
Te10 0.574 0.949 0.250
Te11 0.640 0.267 0.565
Te12 0.733 0.360 0.935
Te13 0.735 0.857 0.933
Te14 0.857 0.735 0.433
Te15 0.948 0.052 0.750
Te16 0.949 0.574 0.750

Properties
Uncorrected energy: -3.30 eV/atom
DOS at the Fermi energy: 0.000 states/eV/f.u.
Raw formation energy: -0.7028 eV/atom
Magnetization: 0.0 μB per cell

No. 12
Here is a relaxed KGaTe2 crystal from Alexandria. Energies are from PBE.

abc: 7.929 7.929 9.605
angles: 90.00 90.00 90.00
Atoms (fractional coordinates):
K1 0.000 0.000 0.000
K2 0.000 0.500 0.250
K3 0.500 0.000 0.750
K4 0.500 0.500 0.500
Ga1 0.000 0.000 0.500
Ga2 0.000 0.500 0.750
Ga3 0.500 0.000 0.250
Ga4 0.500 0.500 0.000
Te1 0.164 0.750 0.625
Te2 0.250 0.164 0.375
Te3 0.250 0.336 0.875
Te4 0.336 0.750 0.125
Te5 0.664 0.250 0.125
Te6 0.750 0.664 0.875
Te7 0.750 0.836 0.375
Te8 0.836 0.250 0.625

Properties
Uncorrected energy: -3.28 eV/atom
DOS at the Fermi energy: 0.000 states/eV/f.u.
Raw formation energy: -0.6753 eV/atom
Magnetization: 0.0 μB per cell